Entry 1:
This record from Alexandria describes a relaxed Tb4YAg2 crystal. The functional is PBE-GGA.

The structure in POSCAR format:
```
Tb4YAg2
1.0
-2.530 -2.291 -3.655
2.378 -1.469 -4.147
1.882 -10.227 1.686
Ag Y Tb
2 1 4
Cartesian
0.280 -4.276 -4.356
1.451 -9.710 -1.760
0.865 -6.993 -3.058
0.155 -2.208 -2.145
1.280 -7.428 0.349
0.451 -6.558 -6.465
1.576 -11.779 -3.972
```

Calculated values
- Total magnetic moment: 0.69 μB per cell
- Crystal system: trigonal
- Space-group type: R-3m (166)
- Formation energy from the elements: 0.180 eV/atom
- Fermi-level density of states: 1.7303 states/eV/atom

Entry 2:
This record from Alexandria describes a relaxed TbYAg6 crystal. The functional is PBE-GGA.

The structure in POSCAR format:
```
TbYAg6
1.0
4.360 0.000 1.190
2.062 4.645 1.029
0.102 -0.407 8.206
Y Tb Ag
1 1 6
Cartesian
0.000 0.000 0.000
1.082 2.119 4.618
2.772 0.855 7.007
3.565 0.435 4.103
1.876 1.683 1.708
2.959 3.802 6.323
4.648 2.554 8.718
3.752 3.382 3.418
```

Calculated values
- Total magnetic moment: 0.00 μB per cell
- Crystal system: monoclinic
- Space-group type: C2/m (12)
- Formation energy from the elements: -0.213 eV/atom
- Fermi-level density of states: 0.5777 states/eV/atom

Entry 3:
This record from Alexandria describes a relaxed Tb3Y2Ag3 crystal. The functional is PBE-GGA.

The structure in POSCAR format:
```
Tb3Y2Ag3
1.0
-3.460 -0.359 -1.209
1.095 -4.888 -1.683
-1.770 -1.353 11.070
Tb Ag Y
3 3 2
Cartesian
-2.242 -3.020 7.310
-1.892 -3.579 0.867
-1.730 -0.179 -0.605
0.547 -2.444 -0.842
-3.445 -5.670 5.928
-0.690 -0.929 2.249
-3.094 -2.016 3.841
-1.041 -4.583 4.336
```

Calculated values
- Total magnetic moment: 0.00 μB per cell
- Crystal system: orthorhombic
- Space-group type: Immm (71)
- Formation energy from the elements: -0.215 eV/atom
- Fermi-level density of states: 0.8676 states/eV/atom

Entry 4:
This record from Alexandria describes a relaxed TbY2Ag3 crystal. The functional is PBE-GGA.

The structure in POSCAR format:
```
TbY2Ag3
1.0
3.633 0.000 0.000
0.000 3.633 0.000
0.000 0.000 11.026
Ag Y Tb
3 2 1
Cartesian
0.000 0.000 7.353
0.000 0.000 0.000
0.000 0.000 3.673
1.816 1.816 9.191
1.816 1.816 1.835
1.816 1.816 5.513
```

Calculated values
- Total magnetic moment: 0.00 μB per cell
- Crystal system: tetragonal
- Space-group type: P4/mmm (123)
- Formation energy from the elements: -0.327 eV/atom
- Fermi-level density of states: 0.5087 states/eV/atom

Entry 5:
This record from Alexandria describes a relaxed Tb4YAg5 crystal. The functional is PBE-GGA.

The structure in POSCAR format:
```
Tb4YAg5
1.0
3.622 0.000 0.000
0.000 3.622 0.000
0.000 0.000 18.522
Ag Tb Y
5 4 1
Cartesian
1.811 1.811 16.674
1.811 1.811 9.261
1.811 1.811 12.970
1.811 1.811 1.848
1.811 1.811 5.552
0.000 0.000 3.701
0.000 0.000 11.114
0.000 0.000 14.822
0.000 0.000 7.408
0.000 0.000 0.000
```

Calculated values
- Total magnetic moment: 0.00 μB per cell
- Crystal system: tetragonal
- Space-group type: P4/mmm (123)
- Formation energy from the elements: -0.320 eV/atom
- Fermi-level density of states: 0.4532 states/eV/atom

Entry 6:
This record from Alexandria describes a relaxed TbYAg crystal. The functional is PBE-GGA.

The structure in POSCAR format:
```
TbYAg
1.0
5.090 0.000 0.000
0.000 9.126 0.000
0.000 0.000 7.039
Y Tb Ag
4 4 4
Cartesian
3.818 2.871 0.107
3.818 1.692 3.626
1.273 6.255 6.932
1.273 7.434 3.413
1.273 0.720 5.965
1.273 3.843 2.445
3.818 8.406 1.074
3.818 5.283 4.593
1.273 0.921 1.854
3.818 5.484 1.666
1.273 3.642 5.373
3.818 8.205 5.185
```

Calculated values
- Total magnetic moment: 0.00 μB per cell
- Crystal system: orthorhombic
- Space-group type: Pnma (62)
- Formation energy from the elements: -0.208 eV/atom
- Fermi-level density of states: 1.1088 states/eV/atom

Entry 7:
This record from Alexandria describes a relaxed TbYAg crystal. The functional is PBE-GGA.

The structure in POSCAR format:
```
TbYAg
1.0
-2.845 1.558 1.588
-1.705 -3.183 0.069
4.762 -0.398 4.814
Ag Tb Y
1 1 1
Cartesian
-1.446 -1.216 2.708
0.090 -0.044 0.205
1.568 -0.763 3.558
```

Calculated values
- Total magnetic moment: 0.85 μB per cell
- Crystal system: tetragonal
- Space-group type: I4mm (107)
- Formation energy from the elements: -0.179 eV/atom
- Fermi-level density of states: 1.2371 states/eV/atom

Entry 8:
This record from Alexandria describes a relaxed Tb2YAg2 crystal. The functional is PBE-GGA.

The structure in POSCAR format:
```
Tb2YAg2
1.0
4.880 0.000 0.000
0.000 5.278 0.016
0.000 -1.264 10.997
Tb Y Ag
4 2 4
Cartesian
1.220 0.691 5.579
3.660 3.323 5.434
3.660 0.715 1.234
1.220 3.299 9.779
1.220 3.387 2.666
3.660 0.628 8.347
1.220 0.637 10.901
3.660 3.377 0.112
1.220 3.342 6.993
3.660 0.672 4.020
```

Calculated values
- Total magnetic moment: 0.00 μB per cell
- Crystal system: monoclinic
- Space-group type: P2_1/m (11)
- Formation energy from the elements: -0.086 eV/atom
- Fermi-level density of states: 1.0297 states/eV/atom

Entry 9:
This record from Alexandria describes a relaxed Tb4Y5Ag crystal. The functional is PBE-GGA.

The structure in POSCAR format:
```
Tb4Y5Ag
1.0
-3.189 0.878 -1.331
-0.585 -3.413 -0.850
-10.033 -3.665 21.630
Y Tb Ag
5 4 1
Cartesian
-9.012 -3.870 14.268
-2.682 -1.558 0.624
-11.126 -4.642 18.826
-6.904 -3.100 9.725
-4.797 -2.330 5.181
-8.170 -2.984 17.612
-6.068 -2.217 13.082
-3.965 -1.448 8.548
-1.864 -0.681 4.017
0.000 0.000 0.000
```

Calculated values
- Total magnetic moment: 0.00 μB per cell
- Crystal system: tetragonal
- Space-group type: P4/mmm (123)
- Formation energy from the elements: -0.041 eV/atom
- Fermi-level density of states: 1.2974 states/eV/atom

Entry 10:
This record from Alexandria describes a relaxed TbY5Ag6 crystal. The functional is PBE-GGA.

The structure in POSCAR format:
```
TbY5Ag6
1.0
-2.297 -4.106 2.162
3.628 1.208 6.147
-6.919 2.498 3.593
Y Ag Tb
5 6 1
Cartesian
1.814 0.604 3.074
-3.072 -0.536 1.919
-6.143 -1.072 3.836
-4.330 -0.468 6.910
-1.258 0.068 4.992
1.575 -1.146 5.695
-1.500 -1.683 7.610
-3.314 -2.286 4.537
-0.244 -1.752 2.614
-2.274 1.886 7.365
-4.088 1.283 4.292
0.000 0.000 0.000
```

Calculated values
- Total magnetic moment: 0.00 μB per cell
- Crystal system: orthorhombic
- Space-group type: Cmmm (65)
- Formation energy from the elements: -0.330 eV/atom
- Fermi-level density of states: 0.5110 states/eV/atom

Entry 11:
This record from Alexandria describes a relaxed TbYZnAg crystal. The functional is PBE-GGA.

The structure in POSCAR format:
```
TbYZnAg
1.0
-1.358 -4.146 -2.674
3.574 -3.283 -1.621
0.359 -4.643 2.120
Tb Zn Y Ag
1 1 1 1
Cartesian
0.644 -3.018 -0.544
1.288 -6.036 -1.088
1.931 -9.054 -1.631
0.000 0.000 0.000
```

Calculated values
- Total magnetic moment: 0.00 μB per cell
- Crystal system: cubic
- Space-group type: F-43m (216)
- Formation energy from the elements: -0.326 eV/atom
- Fermi-level density of states: 0.7409 states/eV/atom

Entry 12:
This record from Alexandria describes a relaxed TbZn6Ag6 crystal. The functional is PBE-GGA.

The structure in POSCAR format:
```
TbZn6Ag6
1.0
5.205 0.000 0.000
2.602 6.558 -0.092
2.602 0.065 6.558
Ag Zn Tb
6 6 1
Cartesian
7.807 5.326 5.200
2.602 4.317 2.202
5.205 2.299 2.245
2.602 1.296 1.265
5.205 4.323 4.221
2.602 2.305 4.263
3.904 0.032 3.279
1.301 3.279 -0.046
1.301 0.032 3.279
5.205 5.085 1.415
3.904 3.279 -0.046
5.205 1.537 5.050
0.000 0.000 0.000
```

Calculated values
- Total magnetic moment: 0.00 μB per cell
- Crystal system: orthorhombic
- Space-group type: Immm (71)
- Formation energy from the elements: -0.155 eV/atom
- Fermi-level density of states: 0.3821 states/eV/atom